[1]
Density functional theory data (PBEsol) for a relaxed structure of Ba3PbW.

Cell lengths 6.535, 6.535, 6.535 Å; angles 90.00, 90.00, 90.00 degrees
Site moments in Bohr magnetons follow the coordinates.
Positions (direct):
1 Pb 0.000 0.000 0.000  0.05
2 Ba 0.000 0.500 0.000  0.05
3 Ba 0.000 0.000 0.500  0.05
4 Ba 0.500 0.000 0.000  0.05
5 W 0.500 0.500 0.500  3.38

- VASP energy: -3.578 eV per atom
- Energy of formation: 1.27 eV per atom
- N(E_F): 5.68 states/eV per cell
- Crystal system: cubic

=====

[2]
Density functional theory data (PBEsol) for a relaxed structure of Zr2InRu.

Cell lengths 3.143, 3.143, 7.811 Å; angles 90.00, 90.00, 90.00 degrees
Positions (direct):
1 Ru 0.500 0.500 0.500
2 Zr 0.000 0.000 0.712
3 Zr 0.000 0.000 0.288
4 In 0.500 0.500 0.000

- VASP energy: -8.268 eV per atom
- Energy of formation: -0.43 eV per atom
- N(E_F): 2.95 states/eV per cell
- Crystal system: tetragonal

=====

[3]
Density functional theory data (PBEsol) for a relaxed structure of NbBiTeN2.

Cell lengths 4.276, 4.276, 5.913 Å; angles 90.00, 90.00, 90.00 degrees
Site moments in Bohr magnetons follow the coordinates.
Positions (direct):
1 Nb 0.500 0.500 0.500  2.24
2 Te 0.000 0.000 0.500  -0.08
3 Bi 0.000 0.000 0.000  0.05
4 N 0.000 0.500 0.000  -0.49
5 N 0.500 0.000 0.000  -0.49

- VASP energy: -5.338 eV per atom
- N(E_F): 5.07 states/eV per cell
- ΔE_f (raw): 1.800 eV/atom
- Crystal system: tetragonal

=====

[4]
Density functional theory data (PBEsol) for a relaxed structure of CaBeNF2.

Cell lengths 3.635, 3.646, 3.646 Å; angles 90.00, 90.00, 90.00 degrees
Site moments in Bohr magnetons follow the coordinates.
Positions (direct):
1 Be 0.000 0.000 0.000  -0.02
2 Ca 0.500 0.500 0.500  0.02
3 N 0.500 0.000 0.000  0.59
4 F 0.000 0.000 0.500  0.05
5 F 0.000 0.500 0.000  0.05

- VASP energy: -5.694 eV per atom
- N(E_F): 2.04 states/eV per cell
- ΔE_f (raw): -1.991 eV/atom
- Crystal system: tetragonal

=====

[5]
Density functional theory data (PBEsol) for a relaxed structure of Y2CoOs.

Cell lengths 3.199, 3.199, 7.949 Å; angles 90.00, 90.00, 90.00 degrees
Site moments in Bohr magnetons follow the coordinates.
Positions (direct):
1 Co 0.000 0.000 0.563  1.03
2 Os 0.500 0.500 0.685  0.21
3 Y 0.000 0.000 0.932  -0.04
4 Y 0.500 0.500 0.321  -0.09

- VASP energy: -8.254 eV per atom
- Energy of formation: 0.15 eV per atom
- N(E_F): 4.37 states/eV per cell
- Crystal system: tetragonal

=====

[6]
Density functional theory data (PBEsol) for a relaxed structure of SiMoSe2.

Cell lengths 3.044, 4.610, 4.610 Å; angles 90.00, 90.00, 90.00 degrees
Positions (direct):
1 Mo 0.500 0.000 0.000
2 Se 0.000 0.000 0.500
3 Se 0.000 0.500 0.000
4 Si 0.500 0.500 0.500

- VASP energy: -5.941 eV per atom
- N(E_F): 3.87 states/eV per cell
- ΔE_f (raw): 0.363 eV/atom
- Crystal system: tetragonal

=====

[7]
Density functional theory data (PBEsol) for a relaxed structure of POsW2.

Cell lengths 2.888, 3.756, 5.488 Å; angles 90.00, 105.26, 90.00 degrees
Positions (direct):
1 Os 0.685 0.000 0.370
2 P 0.548 0.500 0.095
3 W 0.958 0.000 0.916
4 W 0.309 0.500 0.618

- VASP energy: -11.418 eV per atom
- Energy of formation: -0.01 eV per atom
- N(E_F): 2.32 states/eV per cell
- Crystal system: orthorhombic

=====

[8]
Density functional theory data (PBEsol) for a relaxed structure of KReAu4.

Cell lengths 5.483, 5.483, 5.483 Å; angles 60.00, 60.00, 60.00 degrees
Site moments in Bohr magnetons follow the coordinates.
Positions (direct):
1 Au 0.375 0.375 0.375  0.06
2 Au 0.375 0.375 0.876  0.06
3 Au 0.876 0.375 0.375  0.06
4 Au 0.375 0.876 0.375  0.06
5 K 0.750 0.750 0.750  0.01
6 Re 0.000 0.000 0.000  3.08

- VASP energy: -4.304 eV per atom
- Energy of formation: 0.72 eV per atom
- N(E_F): 2.97 states/eV per cell
- Crystal system: cubic

=====

[9]
Density functional theory data (PBEsol) for a relaxed structure of La2YAl.

Cell lengths 3.610, 4.524, 7.053 Å; angles 90.00, 90.00, 90.00 degrees
Positions (direct):
1 Y 0.500 0.500 0.000
2 Al 0.500 0.500 0.500
3 La 0.000 0.000 0.720
4 La 0.000 0.000 0.280

- VASP energy: -5.533 eV per atom
- Energy of formation: -0.13 eV per atom
- N(E_F): 5.29 states/eV per cell
- Crystal system: orthorhombic

=====

[10]
Density functional theory data (PBEsol) for a relaxed structure of LaNiRh2.

Cell lengths 3.957, 4.044, 4.044 Å; angles 90.00, 90.00, 90.00 degrees
Positions (direct):
1 La 0.500 0.500 0.500
2 Ni 0.500 0.000 0.000
3 Rh 0.000 0.000 0.500
4 Rh 0.000 0.500 0.000

- VASP energy: -7.156 eV per atom
- Relative energy among the computed polymorphs: 0.00 kJ per mole of atoms
- Energy of formation: -0.21 eV per atom
- N(E_F): 5.21 states/eV per cell
- Crystal system: tetragonal

=====

[11]
Density functional theory data (PBEsol) for a relaxed structure of CoAs2Ru.

Cell lengths 3.117, 4.404, 4.442 Å; angles 103.06, 90.00, 110.72 degrees
Positions (direct):
1 Ru 0.738 0.477 0.205
2 As 0.003 0.007 0.040
3 As 0.239 0.479 0.646
4 Co 0.519 0.038 0.608

- VASP energy: -7.112 eV per atom
- Energy of formation: -0.08 eV per atom
- N(E_F): 3.07 states/eV per cell
- Crystal system: monoclinic

=====

[12]
Density functional theory data (PBEsol) for a relaxed structure of K3C.

Cell lengths 4.378, 5.842, 7.823 Å; angles 111.91, 90.00, 90.00 degrees
Site moments in Bohr magnetons follow the coordinates.
Positions (direct):
1 K 0.500 0.870 0.740  0.01
2 K 0.000 0.500 0.000  0.01
3 K 0.500 0.130 0.260  0.01
4 C 0.000 0.000 0.000  0.81

- VASP energy: -2.177 eV per atom
- Relative energy among the computed polymorphs: 0.00 kJ per mole of atoms
- Energy of formation: 1.08 eV per atom
- N(E_F): 2.46 states/eV per cell
- Crystal system: orthorhombic

=====

[13]
Density functional theory data (PBEsol) for a relaxed structure of Pr7In6Ni5Ge3.

Cell lengths 4.144, 11.276, 11.276 Å; angles 120.00, 90.00, 90.00 degrees
Positions (direct):
1 Pr 0.000 0.667 0.333
2 Pr 0.000 0.287 0.038
3 Pr 0.000 0.962 0.249
4 Pr 0.000 0.751 0.713
5 Pr 0.000 0.047 0.639
6 Pr 0.000 0.361 0.407
7 Pr 0.000 0.593 0.953
8 In 0.500 0.151 0.167
9 In 0.500 0.833 0.984
10 In 0.500 0.016 0.849
11 In 0.500 0.186 0.498
12 In 0.500 0.502 0.688
13 In 0.500 0.312 0.814
14 Ni 0.000 0.000 0.000
15 Ni 0.000 0.333 0.667
16 Ni 0.500 0.831 0.581
17 Ni 0.500 0.419 0.250
18 Ni 0.500 0.750 0.169
19 Ge 0.500 0.514 0.102
20 Ge 0.500 0.898 0.412
21 Ge 0.500 0.588 0.486

- VASP energy: -5.376 eV per atom
- Energy of formation: -0.62 eV per atom
- N(E_F): 12.65 states/eV per cell
- Crystal system: hexagonal

=====

[14]
Density functional theory data (PBEsol) for a relaxed structure of DyNiP.

Cell lengths 3.851, 3.851, 7.589 Å; angles 90.00, 90.00, 120.00 degrees
Positions (direct):
1 Ni 0.667 0.333 0.750
2 Ni 0.333 0.667 0.250
3 P 0.333 0.667 0.750
4 P 0.667 0.333 0.250
5 Dy 0.000 0.000 0.500
6 Dy 0.000 0.000 0.000

- VASP energy: -6.925 eV per atom
- Energy of formation: -1.28 eV per atom
- N(E_F): 2.66 states/eV per cell
- Crystal system: hexagonal

=====

[15]
Density functional theory data (PBEsol) for a relaxed structure of CrIr2.

Cell lengths 3.749, 3.749, 11.685 Å; angles 99.23, 99.23, 90.00 degrees
Site moments in Bohr magnetons follow the coordinates.
Positions (direct):
1 Cr 0.918 0.918 0.836  1.50
2 Cr 0.082 0.082 0.164  1.50
3 Cr 0.168 0.668 0.336  1.50
4 Cr 0.332 0.832 0.664  1.50
5 Ir 0.750 0.750 0.501  -0.11
6 Ir 0.250 0.250 0.499  -0.11
7 Ir 0.000 0.500 0.001  -0.11
8 Ir 0.500 0.000 0.999  -0.11
9 Ir 0.584 0.584 0.168  -0.16
10 Ir 0.416 0.416 0.832  -0.16
11 Ir 0.834 0.334 0.668  -0.16
12 Ir 0.666 0.166 0.332  -0.16

- VASP energy: -10.137 eV per atom
- Energy of formation: -0.17 eV per atom
- N(E_F): 9.63 states/eV per cell
- Crystal system: tetragonal

=====

[16]
Density functional theory data (PBEsol) for a relaxed structure of Zr2TeIr.

Cell lengths 3.394, 3.394, 8.928 Å; angles 79.04, 79.04, 60.00 degrees
Positions (direct):
1 Ir 0.493 0.493 0.521
2 Te 0.247 0.247 0.260
3 Zr 0.997 0.997 0.008
4 Zr 0.763 0.763 0.711

- VASP energy: -7.995 eV per atom
- N(E_F): 4.24 states/eV per cell
- ΔE_f (raw): -0.113 eV/atom
- Crystal system: trigonal

=====

[17]
Density functional theory data (PBEsol) for a relaxed structure of KRu2Se.

Cell lengths 3.010, 3.010, 8.258 Å; angles 90.00, 90.00, 90.00 degrees
Site moments in Bohr magnetons follow the coordinates.
Positions (direct):
1 K 0.500 0.500 0.500  0.04
2 Ru 0.000 0.000 0.832  0.59
3 Ru 0.000 0.000 0.168  0.59
4 Se 0.500 0.500 0.000  0.00

- VASP energy: -5.563 eV per atom
- N(E_F): 4.37 states/eV per cell
- ΔE_f (raw): 0.769 eV/atom
- Crystal system: tetragonal

=====

[18]
Density functional theory data (PBEsol) for a relaxed structure of Be2CuSi.

Cell lengths 2.443, 2.443, 7.014 Å; angles 90.00, 90.00, 90.00 degrees
Positions (direct):
1 Be 0.000 0.000 0.035
2 Be 0.500 0.500 0.239
3 Si 0.500 0.500 0.759
4 Cu 0.000 0.000 0.468

- VASP energy: -4.358 eV per atom
- N(E_F): 1.06 states/eV per cell
- ΔE_f (raw): 0.162 eV/atom
- Crystal system: tetragonal

=====

[19]
Density functional theory data (PBEsol) for a relaxed structure of ZnAsBrCl2.

Cell lengths 4.925, 4.925, 5.294 Å; angles 90.00, 90.00, 90.00 degrees
Positions (direct):
1 As 0.000 0.000 0.000
2 Zn 0.500 0.500 0.500
3 Br 0.000 0.000 0.500
4 Cl 0.000 0.500 0.000
5 Cl 0.500 0.000 0.000

- VASP energy: -2.623 eV per atom
- N(E_F): 3.70 states/eV per cell
- ΔE_f (raw): -0.109 eV/atom
- Crystal system: tetragonal

=====

[20]
Density functional theory data (PBEsol) for a relaxed structure of TlRe2Se.

Cell lengths 2.841, 2.841, 10.261 Å; angles 90.00, 90.00, 116.77 degrees
Positions (direct):
1 Re 0.000 0.000 0.964
2 Re 0.500 0.500 0.759
3 Se 0.000 0.000 0.549
4 Tl 0.500 0.500 0.227

- VASP energy: -7.664 eV per atom
- Relative energy among the computed polymorphs: 0.00 kJ per mole of atoms
- N(E_F): 3.15 states/eV per cell
- ΔE_f (raw): 0.622 eV/atom
- Crystal system: orthorhombic